(1)
A plane-wave DFT calculation with PBE-GGA was carried out for an optimized crystal structure of CaZr2Se.

- Mass density: 5089 kg/m³
- Crystal system: orthorhombic
- Calculated total energy: -6.198 eV/atom
- ΔE_f (raw): -0.55 eV/atom

Cell lengths 3.4690, 4.5829, 6.5988 Å; angles 69.68, 90.00, 90.00 degrees
Last column: nearest neighbours and their distance in Å.
Fractional positions:
Ca 0.0000 0.5160 0.5929  4 Se 2.91
Se 0.5000 0.9816 0.6618  3 Zr 2.75-2.86, 4 Ca 2.91
Zr 0.0000 0.7983 0.0285  2 Se 2.86, 4 Zr 3.10
Zr 0.5000 0.2042 0.2168  1 Se 2.75

(2)
A plane-wave DFT calculation with PBE-GGA was carried out for an optimized crystal structure of Ca3ZrSe.

- Mass density: 2594 kg/m³
- Polymorph energy (0 for the lowest one): 918 meV/atom
- Crystal system: cubic
- Calculated total energy: -2.875 eV/atom
- ΔE_f (raw): 0.73 eV/atom

Cell lengths 5.7075, 5.7075, 5.7075 Å; angles 90.00, 90.00, 90.00 degrees
Last column: nearest neighbours and their distance in Å.
Fractional positions:
Ca 0.0000 0.5000 0.0000  2 Zr 2.85
Ca 0.0000 0.0000 0.5000  2 Zr 2.85
Ca 0.5000 0.0000 0.0000  2 Zr 2.85
Se 0.5000 0.5000 0.5000  12 Ca 4.04
Zr 0.0000 0.0000 0.0000  6 Ca 2.85

(3)
A plane-wave DFT calculation with PBE-GGA was carried out for an optimized crystal structure of CaZr2Se.

- Mass density: 5452 kg/m³
- Crystal system: orthorhombic
- Calculated total energy: -5.707 eV/atom
- ΔE_f (raw): -0.06 eV/atom

Cell lengths 5.3487, 5.3487, 3.4529 Å; angles 90.00, 90.00, 111.63 degrees
Last column: nearest neighbours and their distance in Å.
Fractional positions:
Ca 0.5000 0.0000 0.5000  2 Se 3.01, 8 Zr 3.18
Se 0.0000 0.5000 0.5000  2 Ca 3.01, 8 Zr 3.18
Zr 0.0000 0.0000 0.0000  2 Zr 3.01, 4 Se 3.18, 4 Ca 3.18
Zr 0.5000 0.5000 0.0000  2 Zr 3.01, 4 Ca 3.18, 4 Se 3.18

Magnetization (computed, μB/atom): 0.000, 0.638, 0.000